a:
Below is MnBrCl2 after structural relaxation, with properties calculated at the PBE level.

Unit cell a=3.3480 b=3.3480 c=10.8553 alpha=90.00 beta=90.00 gamma=113.81
Last column: magnetic moment on the atom in μB.
Positions (direct):
Br 0.5000 0.5000 0.7500  0.00
Mn 0.5000 0.5000 0.2500  4.34
Cl 0.0000 0.0000 0.1024  0.11
Cl 0.0000 0.0000 0.3976  0.11

Results
Volume in Å³/f.u.: 111
Symmetry: Cmmm


b:
Below is MnBrCl2 after structural relaxation, with properties calculated at the PBE level.

Unit cell a=5.1245 b=5.1245 c=5.1245 alpha=125.22 beta=125.22 gamma=81.17
Last column: magnetic moment on the atom in μB.
Positions (direct):
Cl 0.0000 0.0000 0.0000  -0.10
Cl 0.5000 0.5000 0.0000  -0.10
Mn 0.2500 0.7500 0.5000  4.48
Br 0.7500 0.2500 0.5000  -0.37

Results
Volume in Å³/f.u.: 87
Symmetry: I4/mmm


The data favor a; the next most stable structure lies 0.545 eV/atom above it.